Record 1
The following is a meta-GGA SCAN calculation of a PBEsol-optimized structure of UB4Ru4, from the Alexandria database.

```
UB4Ru4
1.0
-3.697 3.697 7.442
3.697 -3.697 7.442
3.697 3.697 -7.442
U B Ru
4 16 16
Direct
0.125 0.375 0.750
0.375 0.125 0.250
0.625 0.875 0.750
0.875 0.625 0.250
0.067 0.127 0.279
0.127 0.348 0.060
0.152 0.373 0.440
0.212 0.933 0.560
0.288 0.848 0.721
0.348 0.788 0.221
0.373 0.433 0.221
0.433 0.712 0.060
0.567 0.288 0.940
0.627 0.567 0.779
0.652 0.212 0.779
0.712 0.152 0.279
0.788 0.067 0.440
0.848 0.627 0.560
0.873 0.652 0.940
0.933 0.873 0.721
0.034 0.823 0.983
0.052 0.034 0.712
0.160 0.677 0.712
0.177 0.660 0.212
0.323 0.534 0.483
0.340 0.052 0.517
0.448 0.160 0.983
0.466 0.448 0.788
0.534 0.552 0.212
0.552 0.840 0.017
0.660 0.948 0.483
0.677 0.466 0.517
0.823 0.340 0.788
0.840 0.323 0.288
0.948 0.966 0.288
0.966 0.177 0.017
```

Summary:
For the formation energy, the calculation gives -0.43 eV/atom. The calculation puts the total moment at 1.2 μB/f.u. Its electronic total energy is -1.129 Ha/atom. As for the space-group type: I4_1/acd.

Record 2
The following is a meta-GGA SCAN calculation of a PBEsol-optimized structure of VB2Ru, from the Alexandria database.

```
VB2Ru
1.0
2.900 0.000 0.000
0.000 4.285 0.000
0.000 0.000 5.913
V B Ru
2 4 2
Direct
0.000 0.132 0.000
0.000 0.868 0.500
0.000 0.356 0.653
0.000 0.644 0.153
0.500 0.141 0.715
0.500 0.859 0.215
0.500 0.358 0.361
0.500 0.642 0.861
```

Summary:
For the formation energy, the calculation gives -0.53 eV/atom. The calculation puts the total moment at 0.4 μB/f.u. Its electronic total energy is -0.636 Ha/atom. As for the space-group type: Pmc2_1.

Record 3
The following is a meta-GGA SCAN calculation of a PBEsol-optimized structure of Y2B6Ru, from the Alexandria database.

```
Y2B6Ru
1.0
9.092 0.000 0.000
0.000 11.454 0.000
0.000 0.000 3.615
Y B Ru
8 24 4
Direct
0.056 0.128 0.000
0.177 0.414 0.000
0.323 0.914 0.000
0.444 0.628 0.000
0.556 0.372 0.000
0.677 0.086 0.000
0.823 0.586 0.000
0.944 0.872 0.000
0.017 0.287 0.500
0.054 0.567 0.500
0.108 0.970 0.500
0.131 0.815 0.500
0.209 0.234 0.500
0.248 0.580 0.500
0.252 0.080 0.500
0.291 0.734 0.500
0.369 0.315 0.500
0.392 0.470 0.500
0.446 0.067 0.500
0.483 0.787 0.500
0.517 0.213 0.500
0.554 0.933 0.500
0.608 0.530 0.500
0.631 0.685 0.500
0.709 0.266 0.500
0.748 0.920 0.500
0.752 0.420 0.500
0.791 0.766 0.500
0.869 0.185 0.500
0.892 0.030 0.500
0.946 0.433 0.500
0.983 0.713 0.500
0.138 0.679 0.000
0.362 0.179 0.000
0.638 0.821 0.000
0.862 0.321 0.000
```

Summary:
For the formation energy, the calculation gives -0.75 eV/atom. The calculation puts the total moment at 0.0 μB/f.u. Its electronic total energy is -0.579 Ha/atom. As for the space-group type: Pbam.

Record 4
The following is a meta-GGA SCAN calculation of a PBEsol-optimized structure of YB2Ru3, from the Alexandria database.

```
YB2Ru3
1.0
5.451 0.000 0.000
-2.726 4.721 0.000
0.000 0.000 2.991
Y B Ru
1 2 3
Direct
0.000 0.000 0.000
0.333 0.667 0.000
0.667 0.333 0.000
0.000 0.500 0.500
0.500 0.000 0.500
0.500 0.500 0.500
```

Summary:
For the formation energy, the calculation gives -0.55 eV/atom. The calculation puts the total moment at 0.0 μB/f.u. Its electronic total energy is -0.922 Ha/atom. As for the space-group type: P6/mmm.